(1)
5
Lattice="-2.708 -1.575 -2.686 3.031 -0.517 -2.753 1.092 -5.780 2.288" Properties=species:S:1:pos:R:3 comment="YSiGeRh2 (GGA-PBE, optimized geometry)" formation_energy_uncorrected_ev_per_fu=-3.006 sg=P4mm crystal_system=tetragonal pbc="T T T"
Ge 0.877 -4.835 -1.220
Si 0.069 -0.363 0.144
Y 3.599 -3.526 -1.561
Rh 2.477 -5.348 0.639
Rh 2.638 -6.395 -2.081

(2)
20
Lattice="3.479 0.000 0.000 0.000 9.717 0.000 0.000 0.000 9.717" Properties=species:S:1:pos:R:3 comment="Y2Si2GeRh5 (GGA-PBE, optimized geometry)" formation_energy_uncorrected_ev_per_fu=-9.043 sg=P4/mbm crystal_system=tetragonal pbc="T T T"
Rh 1.739 4.197 2.804
Rh 1.739 0.662 7.663
Rh 1.739 2.055 0.662
Rh 1.739 4.859 0.000
Rh 1.739 0.000 4.859
Rh 1.739 2.804 5.520
Rh 1.739 9.056 2.055
Rh 1.739 6.913 4.197
Rh 1.739 7.663 9.056
Rh 1.739 5.520 6.913
Y 0.000 6.564 1.705
Y 0.000 8.012 6.564
Y 0.000 1.705 3.154
Y 0.000 3.154 8.012
Si 0.000 8.520 3.662
Si 0.000 3.662 1.197
Si 0.000 1.197 6.056
Si 0.000 6.056 8.520
Ge 0.000 0.000 0.000
Ge 0.000 4.859 4.859

(3)
20
Lattice="3.516 0.000 0.000 0.000 9.746 0.000 0.000 0.000 9.746" Properties=species:S:1:pos:R:3 comment="Y2SiGe2Rh5 (GGA-PBE, optimized geometry)" formation_energy_uncorrected_ev_per_fu=-7.656 sg=P4/mbm crystal_system=tetragonal pbc="T T T"
Y 0.000 1.695 3.177
Y 0.000 3.177 8.050
Y 0.000 6.568 1.695
Y 0.000 8.050 6.568
Rh 1.758 5.491 6.832
Rh 1.758 1.959 0.619
Rh 1.758 9.127 1.959
Rh 1.758 7.787 9.127
Rh 1.758 6.832 4.254
Rh 1.758 2.914 5.491
Rh 1.758 4.254 2.914
Rh 1.758 0.000 4.873
Rh 1.758 4.873 0.000
Rh 1.758 0.619 7.787
Ge 0.000 8.519 3.646
Ge 0.000 3.646 1.227
Ge 0.000 1.227 6.099
Ge 0.000 6.099 8.519
Si 0.000 4.873 4.873
Si 0.000 0.000 0.000

(4)
14
Lattice="7.397 0.000 -2.515 -3.704 6.348 -2.649 0.012 0.000 7.812" Properties=species:S:1:pos:R:3 comment="Sm8Ge5Rh (GGA-PBE, optimized geometry)" sg=I-4 crystal_system=tetragonal formation_enthalpy_0k_ev_per_atom=-0.766 pbc="T T T"
Ge 6.008 2.357 -2.501
Ge 2.283 0.819 -1.265
Ge 3.704 0.000 2.649
Ge 3.234 5.529 -2.594
Ge 3.269 3.991 1.331
Sm 0.948 1.626 1.720
Sm -0.484 0.848 5.459
Sm 3.261 2.435 4.269
Sm 4.647 1.576 0.330
Sm -1.889 4.772 1.642
Sm 1.390 3.913 -0.944
Sm 1.317 5.500 2.941
Sm -1.758 4.722 5.505
Rh 0.006 3.174 3.906

(5)
28
Lattice="-4.007 6.564 -1.162 -4.573 -3.693 -5.093 -4.850 -1.941 5.763" Properties=species:S:1:pos:R:3 comment="SmGe3Rh3 (GGA-PBE, optimized geometry)" relative_energy_mev_per_atom=0 sg=P2_13 crystal_system=cubic formation_enthalpy_0k_ev_per_atom=-0.627 pbc="T T T"
Ge -7.745 -0.420 -2.296
Ge -6.061 -3.627 -0.189
Ge -5.768 2.442 3.270
Ge -7.606 2.752 -0.104
Ge -5.516 2.385 -3.717
Ge -3.974 0.739 2.032
Ge -7.907 -0.722 1.547
Ge -4.048 -1.841 -0.831
Ge -9.765 -4.017 0.805
Ge -9.296 3.988 3.133
Ge -9.139 1.980 -4.971
Ge -3.758 1.918 -1.632
Rh -8.273 -2.322 -0.445
Rh -6.026 -2.474 -2.540
Rh -2.624 0.182 -0.096
Rh -9.127 0.632 -0.334
Rh -4.844 2.848 0.961
Rh -11.934 0.826 -0.437
Rh -4.894 0.076 -2.923
Rh -7.882 2.122 -2.721
Rh -6.084 -0.152 3.441
Rh -5.624 3.853 -1.550
Rh -8.082 1.877 2.278
Rh -5.189 -1.890 1.415
Sm -7.350 -3.513 2.529
Sm -5.947 0.412 -0.218
Sm -6.822 0.064 -5.119
Sm -6.742 4.896 1.824

(6)
12
Lattice="-3.914 0.182 -6.071 7.030 -1.485 -0.765 -2.626 -4.674 3.947" Properties=species:S:1:pos:R:3 comment="SmGeRh (GGA-PBE, optimized geometry)" sg=Fddd crystal_system=orthorhombic formation_enthalpy_0k_ev_per_atom=-0.635 pbc="T T T"
Ge 4.753 -3.676 0.741
Ge 1.208 -3.136 -0.977
Ge 5.257 -1.215 -1.624
Ge -2.142 -0.088 -5.211
Sm 0.178 -4.040 1.914
Sm -1.779 -3.949 -1.121
Sm 3.048 -2.355 -3.477
Sm -0.467 -1.612 -3.094
Rh 0.782 -4.519 -3.034
Rh -0.293 -1.459 0.145
Rh 2.688 -4.865 0.027
Rh 3.273 -1.947 -0.263

(7)
11
Lattice="-3.912 -4.225 3.650 5.153 -0.634 4.789 -1.630 6.104 2.561" Properties=species:S:1:pos:R:3 comment="Sm7Ge2Rh2 (GGA-PBE, optimized geometry)" sg=Cmmm crystal_system=orthorhombic formation_enthalpy_0k_ev_per_atom=-0.426 pbc="T T T"
Sm 1.134 0.459 6.734
Sm -3.397 -1.337 6.166
Sm 0.000 0.000 0.000
Sm 3.008 2.582 4.834
Sm -1.522 0.786 4.266
Sm -0.626 -2.276 3.061
Sm 0.237 3.521 7.939
Ge -1.779 1.160 7.276
Ge 1.391 0.085 3.724
Rh -2.262 3.243 2.863
Rh -3.280 -1.365 3.348

(8)
12
Lattice="6.276 -0.023 0.052 0.010 6.831 1.096 -3.196 -1.446 5.387" Properties=species:S:1:pos:R:3 comment="SmGe4Rh (GGA-PBE, optimized geometry)" sg=P-1 crystal_system=triclinic formation_enthalpy_0k_ev_per_atom=-0.440 pbc="T T T"
Ge 2.325 6.059 1.555
Ge 3.971 2.649 1.009
Ge 0.765 -0.697 4.981
Ge 0.736 3.669 3.383
Ge 3.876 5.099 3.732
Ge 2.353 1.694 3.153
Ge -0.882 2.713 5.527
Ge -0.786 0.264 2.804
Rh -1.593 2.693 3.242
Rh 1.540 -0.734 2.720
Sm -2.539 0.252 5.647
Sm 5.628 5.110 0.888

(9)
8
Lattice="-3.336 -0.497 -2.192 2.355 -0.449 -3.482 0.475 -10.677 1.699" Properties=species:S:1:pos:R:3 comment="Sm4GeRh3 (GGA-PBE, optimized geometry)" sg=Pmm2 crystal_system=orthorhombic formation_enthalpy_0k_ev_per_atom=-0.769 pbc="T T T"
Sm -0.317 -4.367 -2.217
Sm 1.584 -9.351 -0.289
Sm 0.068 -1.535 0.244
Sm -1.363 -7.093 -0.007
Rh 1.455 -6.468 -0.748
Rh 0.196 -4.401 0.700
Rh -1.228 -10.132 0.477
Ge -0.456 -1.255 -2.713

(10)
11
Lattice="6.217 0.093 -1.024 -1.983 6.810 -2.900 -0.139 -0.156 7.660" Properties=species:S:1:pos:R:3 comment="Sm8GeRh2 (GGA-PBE, optimized geometry)" sg=Cm crystal_system=monoclinic formation_enthalpy_0k_ev_per_atom=-0.364 pbc="T T T"
Ge 1.083 0.054 -0.154
Sm 3.594 4.379 2.261
Sm 0.380 6.228 1.979
Sm 2.927 2.380 -0.984
Sm 0.872 4.371 4.794
Sm 5.555 1.464 4.379
Sm 0.328 2.469 1.571
Sm 3.414 0.541 1.804
Sm 4.510 5.410 -1.603
Rh 2.324 2.077 3.858
Rh 1.635 4.682 -0.091

(11)
6
Lattice="-1.856 2.135 -3.335 -4.634 -2.807 -2.085 -4.584 3.173 1.714" Properties=species:S:1:pos:R:3 comment="Sm2Ge3Rh (GGA-PBE, optimized geometry)" relative_energy_mev_per_atom=66 sg=Cm crystal_system=monoclinic formation_enthalpy_0k_ev_per_atom=-0.768 pbc="T T T"
Rh -3.397 0.106 -0.909
Ge -3.295 1.426 -2.988
Ge -7.931 1.132 -0.596
Ge -7.412 2.289 -3.012
Sm -5.174 2.917 -0.988
Sm -6.012 -0.369 -2.625

(12)
12
Lattice="5.705 0.000 0.000 0.000 6.218 -0.016 0.000 -1.265 6.088" Properties=species:S:1:pos:R:3 comment="SmGe3Rh2 (GGA-PBE, optimized geometry)" sg=Cmcm crystal_system=orthorhombic formation_enthalpy_0k_ev_per_atom=-0.589 pbc="T T T"
Sm 4.278 3.264 4.002
Sm 1.426 1.689 2.071
Ge 4.278 0.233 2.713
Ge 4.278 2.611 0.773
Ge 1.426 4.830 5.921
Ge 1.426 4.721 3.359
Ge 1.426 2.343 5.299
Ge 4.278 0.123 0.151
Rh 2.852 4.559 1.338
Rh 0.000 0.395 4.735
Rh 2.852 0.395 4.735
Rh 0.000 4.559 1.338

(13)
4
Lattice="3.797 0.000 0.000 0.000 4.883 0.000 0.000 0.000 4.883" Properties=species:S:1:pos:R:3 comment="Sm2GeRh (GGA-PBE, optimized geometry)" sg=P4/mmm crystal_system=tetragonal formation_enthalpy_0k_ev_per_atom=-0.680 pbc="T T T"
Rh 1.899 2.441 2.441
Ge 1.899 0.000 0.000
Sm 0.000 0.000 2.441
Sm 0.000 2.441 0.000

(14)
3
Lattice="3.819 0.000 0.000 0.000 4.339 0.000 0.000 -2.170 3.758" Properties=species:S:1:pos:R:3 comment="SmGeRh (GGA-PBE, optimized geometry)" sg=P-6m2 crystal_system=hexagonal formation_enthalpy_0k_ev_per_atom=-0.854 pbc="T T T"
Sm 2.546 0.000 2.505
Rh 0.636 0.000 0.000
Ge 0.637 2.170 1.253

(15)
18
Lattice="-3.483 -2.005 3.921 6.466 -0.263 5.609 -1.820 7.995 2.472" Properties=species:S:1:pos:R:3 comment="Sm4GeRh4 (GGA-PBE, optimized geometry)" sg=P4_2/n crystal_system=tetragonal formation_enthalpy_0k_ev_per_atom=-0.673 pbc="T T T"
Rh 3.383 7.473 7.661
Rh 0.800 -0.199 5.462
Rh -2.220 -1.747 4.341
Rh -2.682 1.644 3.312
Rh 2.864 3.708 5.274
Rh 3.845 4.083 8.690
Rh 0.363 5.926 6.540
Rh -1.701 2.018 6.728
Sm 2.768 1.138 3.910
Sm 1.486 2.285 7.378
Sm 3.066 -1.120 7.040
Sm -4.104 3.695 5.415
Sm -1.605 4.589 8.091
Sm -0.323 3.442 4.624
Sm -1.903 6.847 4.961
Sm 5.267 2.032 6.587
Ge 2.614 5.298 7.041
Ge -1.451 0.429 4.961

(16)
18
Lattice="7.837 0.000 0.000 3.918 6.787 0.000 3.918 2.262 6.399" Properties=species:S:1:pos:R:3 comment="SmGe2Rh6 (GGA-PBE, optimized geometry)" sg=Fd-3m crystal_system=cubic formation_enthalpy_0k_ev_per_atom=-0.008 pbc="T T T"
Rh 11.755 4.555 3.221
Rh 11.755 9.019 6.377
Rh 13.688 7.903 3.221
Rh 9.770 5.641 1.621
Rh 9.822 5.671 6.377
Rh 7.837 6.756 4.778
Rh 9.770 3.409 4.778
Rh 5.904 3.409 4.778
Rh 7.837 2.293 1.621
Rh 5.904 5.641 1.621
Rh 13.688 5.671 6.377
Rh 9.822 7.903 3.221
Ge 5.878 1.131 0.800
Ge 3.918 4.525 0.800
Ge 1.959 1.131 0.800
Ge 3.918 2.262 3.999
Sm 7.837 4.525 3.199
Sm 11.755 6.787 4.799

(17)
32
Lattice="-0.997 -5.696 -0.773 2.575 -1.478 7.567 -13.504 1.695 4.926" Properties=species:S:1:pos:R:3 comment="Sm3Ge3Rh2 (GGA-PBE, optimized geometry)" relative_energy_mev_per_atom=27 sg=Pnma crystal_system=orthorhombic formation_enthalpy_0k_ev_per_atom=-0.882 pbc="T T T"
Ge -11.563 -1.540 9.722
Ge -9.881 -2.686 5.734
Ge 0.674 -6.108 5.587
Ge -8.875 -5.035 9.298
Ge -6.075 -3.222 4.081
Ge -0.363 -3.939 1.998
Ge -6.888 -0.088 4.049
Ge -5.038 -5.391 7.671
Ge -2.045 -2.793 5.986
Ge -5.851 -2.257 7.638
Ge -12.600 0.629 6.133
Ge -3.051 -0.444 2.421
Sm 0.595 -3.360 7.531
Sm -3.145 -2.891 8.895
Sm -0.445 -1.211 3.939
Sm -12.521 -2.119 4.189
Sm -8.727 -1.829 8.601
Sm -8.781 -2.588 2.825
Sm -11.481 -4.268 7.781
Sm -2.143 -5.714 6.722
Sm -4.185 -0.741 5.303
Sm -9.783 0.235 4.997
Sm -7.741 -4.737 6.417
Sm -3.199 -3.650 3.119
Rh -4.540 -3.690 5.935
Rh -7.386 -1.789 5.785
Rh -9.946 -0.482 11.277
Rh -1.981 -4.997 0.443
Rh -5.831 -0.998 9.776
Rh -6.095 -4.481 1.944
Rh -0.426 -4.206 4.434
Rh -11.501 -1.272 7.286

(18)
14
Lattice="6.691 0.000 0.000 0.000 6.691 0.000 0.000 0.000 6.691" Properties=species:S:1:pos:R:3 comment="SmGe3Rh3 (GGA-PBE, optimized geometry)" relative_energy_mev_per_atom=319 sg=Pm-3n crystal_system=cubic formation_enthalpy_0k_ev_per_atom=-0.308 pbc="T T T"
Rh 1.673 0.000 3.345
Rh 3.345 5.018 0.000
Rh 5.018 0.000 3.345
Rh 3.345 1.673 0.000
Rh 0.000 3.345 5.018
Rh 0.000 3.345 1.673
Ge 0.000 1.673 3.345
Ge 5.018 3.345 0.000
Ge 1.673 3.345 0.000
Ge 3.345 0.000 5.018
Ge 3.345 0.000 1.673
Ge 0.000 5.018 3.345
Sm 0.000 0.000 0.000
Sm 3.345 3.345 3.345

(19)
12
Lattice="5.929 0.023 0.000 -0.208 5.925 0.000 -2.860 -2.974 7.349" Properties=species:S:1:pos:R:3 comment="Sm2Ge3Rh (GGA-PBE, optimized geometry)" relative_energy_mev_per_atom=0 sg=Fmmm crystal_system=orthorhombic formation_enthalpy_0k_ev_per_atom=-0.834 pbc="T T T"
Sm 1.438 1.495 0.000
Sm 4.283 4.452 0.000
Sm 2.964 0.011 3.675
Sm -0.104 2.963 3.675
Ge 0.000 0.000 2.478
Ge -1.516 1.459 6.107
Ge 1.516 -1.459 6.107
Ge 2.860 2.974 4.872
Ge 1.344 4.432 1.243
Ge 4.377 1.515 1.243
Rh 0.000 0.000 4.903
Rh 2.860 2.974 2.447

| no. | raw total energy (eV per atom) |
| --- | --- |
| 1 | -6.8426 |
| 2 | -7.4192 |
| 3 | -7.1999 |
| 4 | -5.6365 |
| 5 | -6.4308 |
| 6 | -6.1974 |
| 7 | -5.6055 |
| 8 | -5.5295 |
| 9 | -6.4629 |
| 10 | -5.5530 |
| 11 | -5.8749 |
| 12 | -6.1349 |
| 13 | -6.0319 |
| 14 | -6.4166 |
| 15 | -6.5507 |
| 16 | -6.4590 |
| 17 | -6.2208 |
| 18 | -6.1121 |
| 19 | -5.9405 |